! LiPaRuAu | Alexandria via LeMat-Bulk | PBE-GGA | optimized geometry; values from VASP
&SYSTEM
  ibrav = 0, nat = 4, ntyp = 4
/
ATOMIC_SPECIES
Ru 101.07 Ru.upf
Pa 231.04 Pa.upf
Au 196.97 Au.upf
Li 6.94 Li.upf
CELL_PARAMETERS angstrom
-0.6686 2.7374 -3.8070
-3.8078 2.8047 -0.2610
0.4911 4.6982 0.3456
ATOMIC_POSITIONS crystal
Ru 0.7500 0.7500 0.7500
Pa 0.5000 0.5000 0.5000
Au 0.2500 0.2500 0.2500
Li 0.0000 0.0000 0.0000
! Calculated formation energy, eV/atom: -0.19
! Space group: F-43m, No. 216
! Spin magnetization, μB/cell: 0.0